# 1
# LaScRhAu2 GGA-PBE relaxed
# * size of the total moment: 0.0 μB/f.u.
# * calculated formation energy: -277 meV/atom
data_LaScRhAu2
_cell_length_a 5.118
_cell_length_b 5.118
_cell_length_c 4.736
_cell_angle_alpha 90.00
_cell_angle_beta 90.00
_cell_angle_gamma 90.00
_space_group_name_H-M_alt 'P 4/m m m'
_space_group_IT_number 123
_space_group_name_Hall '-P 4 2'
loop_
_atom_site_label
_atom_site_fract_x
_atom_site_fract_y
_atom_site_fract_z
La1 0.000 0.000 0.000
Sc1 0.500 0.500 0.500
Rh1 0.500 0.500 0.000
Au1 0.000 0.500 0.500

---

# 2
# LaSmRhAu GGA-PBE relaxed
# * size of the total moment: 0.0 μB/f.u.
# * calculated formation energy: -792 meV/atom
data_LaSmRhAu
_cell_length_a 4.489
_cell_length_b 4.001
_cell_length_c 11.103
_cell_angle_alpha 90.00
_cell_angle_beta 90.00
_cell_angle_gamma 90.00
_space_group_name_H-M_alt 'A m m 2'
_space_group_IT_number 38
_space_group_name_Hall 'A 2 -2'
loop_
_atom_site_label
_atom_site_fract_x
_atom_site_fract_y
_atom_site_fract_z
La1 0.000 0.000 0.000
Sm1 0.500 0.000 0.722
Rh1 0.500 0.000 0.460
Au1 0.000 0.000 0.281

---

# 3
# LaSmRhAu GGA-PBE relaxed
# * size of the total moment: 0.0 μB/f.u.
# * calculated formation energy: -710 meV/atom
data_LaSmRhAu
_cell_length_a 7.284
_cell_length_b 7.284
_cell_length_c 7.284
_cell_angle_alpha 90.00
_cell_angle_beta 90.00
_cell_angle_gamma 90.00
_space_group_name_H-M_alt 'F -4 3 m'
_space_group_IT_number 216
_space_group_name_Hall 'F -4 2 3'
loop_
_atom_site_label
_atom_site_fract_x
_atom_site_fract_y
_atom_site_fract_z
La1 0.000 0.000 0.000
Sm1 0.000 0.000 0.500
Rh1 0.250 0.250 0.250
Au1 0.250 0.250 0.750

---

# 4
# La2Sn3Rh4Au GGA-PBE relaxed
# * size of the total moment: 0.0 μB/f.u.
# * calculated formation energy: -684 meV/atom
data_La2Sn3Rh4Au
_cell_length_a 4.364
_cell_length_b 4.364
_cell_length_c 11.461
_cell_angle_alpha 90.00
_cell_angle_beta 90.00
_cell_angle_gamma 90.00
_space_group_name_H-M_alt 'P -4 m 2'
_space_group_IT_number 115
_space_group_name_Hall 'P -4 -2'
loop_
_atom_site_label
_atom_site_fract_x
_atom_site_fract_y
_atom_site_fract_z
La1 0.000 0.500 0.237
Sn1 0.000 0.000 0.000
Sn2 0.000 0.500 0.626
Rh1 0.000 0.000 0.500
Rh2 0.000 0.500 0.853
Rh3 0.500 0.500 0.500
Au1 0.500 0.500 0.000